[1]
{
  "formula": "LaNd5Au6",
  "functional": "GGA-PBE",
  "state": "optimized geometry",
  "cell": [[-2.1851, -4.2081, 2.3613], [6.7141, -2.9544, 0.9482], [1.7254, 5.7914, 5.8292]],
  "species": ["Au", "Au", "Au", "Au", "Au", "Au", "Nd", "Nd", "Nd", "Nd", "Nd", "La"],
  "fractional_positions": [[0.8323, 0.7481, 0.6628], [0.1677, 0.2519, 0.3372], [0.5000, 0.7452, 0.0000], [0.1676, 0.7480, 0.3373], [0.8324, 0.2520, 0.6627], [0.5000, 0.2548, 0.0000], [0.3335, 0.0000, 0.6656], [0.6665, 0.0000, 0.3344], [0.3345, 0.5000, 0.6679], [0.0000, 0.5000, 0.0000], [0.6655, 0.5000, 0.3321], [0.0000, 0.0000, 0.0000]],
  "total_magnetization_mub_per_atom": 0.000,
  "e_form_mev_per_atom": -765,
  "crystal_system": "monoclinic",
  "dos_ef_per_ev_cell": 9.517,
  "final_energy_ev_per_cell": -57.61
}

[2]
{
  "formula": "LaNd2Au",
  "functional": "GGA-PBE",
  "state": "optimized geometry",
  "cell": [[3.7577, 0.0000, 0.0000], [0.0000, 3.7577, 0.0000], [0.0000, 0.0000, 8.7158]],
  "species": ["La", "Au", "Nd", "Nd"],
  "fractional_positions": [[0.5000, 0.5000, 0.5000], [0.5000, 0.5000, 0.0000], [0.0000, 0.0000, 0.7947], [0.0000, 0.0000, 0.2053]],
  "total_magnetization_mub_per_atom": 0.000,
  "e_form_mev_per_atom": -362,
  "crystal_system": "tetragonal",
  "de_polymorph_ev_per_atom": 0.036,
  "dos_ef_per_ev_cell": 6.272,
  "final_energy_ev_per_cell": -19.19
}

[3]
{
  "formula": "La3Nd4Au4",
  "functional": "GGA-PBE",
  "state": "optimized geometry",
  "cell": [[5.0299, 0.0000, 0.0000], [0.0000, 7.8760, 0.0000], [-2.5150, -3.9380, 8.2253]],
  "species": ["Nd", "Nd", "Nd", "Nd", "Au", "Au", "Au", "Au", "La", "La", "La"],
  "fractional_positions": [[0.6724, 0.8930, 0.3449], [0.6724, 0.4519, 0.3449], [0.3276, 0.5481, 0.6551], [0.3276, 0.1070, 0.6551], [0.1995, 0.6995, 0.3989], [0.5000, 0.8104, 0.0000], [0.5000, 0.1897, 0.0000], [0.8005, 0.3005, 0.6011], [0.0000, 0.5000, 0.0000], [0.9014, 0.9014, 0.8027], [0.0986, 0.0986, 0.1973]],
  "total_magnetization_mub_per_atom": 0.000,
  "e_form_mev_per_atom": -535,
  "crystal_system": "orthorhombic",
  "dos_ef_per_ev_cell": 9.042,
  "final_energy_ev_per_cell": -52.85
}

[4]
{
  "formula": "La2Nd2Au3",
  "functional": "GGA-PBE",
  "state": "optimized geometry",
  "cell": [[7.5904, 0.0000, -2.6836], [-3.7952, 6.5735, -2.6836], [0.0000, 0.0000, 8.0509]],
  "species": ["Au", "Au", "Au", "Au", "Au", "Au", "La", "La", "La", "La", "Nd", "Nd", "Nd", "Nd"],
  "fractional_positions": [[0.7500, 0.6313, 0.3813], [0.8813, 0.2500, 0.6313], [0.3687, 0.1187, 0.7500], [0.2500, 0.8687, 0.1187], [0.6187, 0.7500, 0.8687], [0.1313, 0.3813, 0.2500], [0.8619, 0.5000, 0.0000], [0.6381, 0.1381, 0.1381], [0.0000, 0.0000, 0.3619], [0.5000, 0.3619, 0.5000], [0.0000, 0.0000, 0.8637], [0.3637, 0.5000, 0.0000], [0.1363, 0.6363, 0.6363], [0.5000, 0.8637, 0.5000]],
  "total_magnetization_mub_per_atom": 0.000,
  "e_form_mev_per_atom": -626,
  "crystal_system": "cubic",
  "dos_ef_per_ev_cell": 21.891,
  "final_energy_ev_per_cell": -67.21
}

[5]
{
  "formula": "LaNd2Au2",
  "functional": "GGA-PBE",
  "state": "optimized geometry",
  "cell": [[-2.4922, 4.5004, 0.1847], [-4.5975, 0.4941, -2.2622], [-5.0841, -0.0582, 4.4698]],
  "species": ["Nd", "Nd", "Au", "Au", "La"],
  "fractional_positions": [[0.2179, 0.7179, 0.3462], [0.7821, 0.2821, 0.6538], [0.4154, 0.9154, 0.7545], [0.5846, 0.0846, 0.2455], [0.0000, 0.5000, 0.0000]],
  "total_magnetization_mub_per_atom": 0.000,
  "e_form_mev_per_atom": -549,
  "crystal_system": "trigonal",
  "de_polymorph_ev_per_atom": 0.080,
  "dos_ef_per_ev_cell": 4.783,
  "final_energy_ev_per_cell": -23.76
}

[6]
{
  "formula": "La4NdAu",
  "functional": "GGA-PBE",
  "state": "optimized geometry",
  "cell": [[3.7980, -0.0007, 0.0002], [0.0007, 3.7980, 0.0002], [-0.0006, -0.0006, 13.7669]],
  "species": ["Au", "Nd", "La", "La", "La", "La"],
  "fractional_positions": [[0.5000, 0.5000, 0.5000], [0.0000, 0.0000, 0.0000], [0.5000, 0.5000, 0.1832], [0.5000, 0.5000, 0.8168], [0.0000, 0.0000, 0.3670], [0.0000, 0.0000, 0.6330]],
  "total_magnetization_mub_per_atom": 0.000,
  "e_form_mev_per_atom": -250,
  "crystal_system": "tetragonal",
  "de_polymorph_ev_per_atom": 0.000,
  "dos_ef_per_ev_cell": 8.932,
  "final_energy_ev_per_cell": -29.25
}

[7]
{
  "formula": "La2Nd3Au4",
  "functional": "GGA-PBE",
  "state": "optimized geometry",
  "cell": [[-6.2709, -1.2746, -4.0043], [1.6671, -6.8887, 5.4851], [-4.3721, 3.5054, 5.7312]],
  "species": ["Au", "Au", "Au", "Au", "Au", "Au", "Au", "Au", "Nd", "Nd", "Nd", "Nd", "Nd", "Nd", "La", "La", "La", "La"],
  "fractional_positions": [[0.6321, 0.5159, 0.6389], [0.3679, 0.4841, 0.3611], [0.8679, 0.4841, 0.1389], [0.8377, 0.0718, 0.5326], [0.1623, 0.9282, 0.4674], [0.3377, 0.0718, 0.9674], [0.1321, 0.5159, 0.8611], [0.6623, 0.9282, 0.0326], [0.0000, 0.5000, 0.5000], [0.2370, 0.2427, 0.6680], [0.5000, 0.5000, 0.0000], [0.2630, 0.7573, 0.1680], [0.7370, 0.2427, 0.8320], [0.7630, 0.7573, 0.3320], [0.5502, 0.1855, 0.3203], [0.4498, 0.8145, 0.6797], [0.9498, 0.8145, 0.8203], [0.0502, 0.1855, 0.1797]],
  "total_magnetization_mub_per_atom": 0.000,
  "e_form_mev_per_atom": -698,
  "crystal_system": "monoclinic",
  "dos_ef_per_ev_cell": 19.705,
  "final_energy_ev_per_cell": -87.09
}

[8]
{
  "formula": "La3Nd3Au2",
  "functional": "GGA-PBE",
  "state": "optimized geometry",
  "cell": [[3.9134, 0.0000, 0.0000], [-1.9567, 6.2586, 0.0000], [0.0000, 0.0000, 20.4410]],
  "species": ["Nd", "Nd", "Nd", "Nd", "Nd", "Nd", "Au", "Au", "Au", "Au", "La", "La", "La", "La", "La", "La"],
  "fractional_positions": [[0.6366, 0.2732, 0.7500], [0.3629, 0.7258, 0.9739], [0.3634, 0.7268, 0.2500], [0.3629, 0.7258, 0.5261], [0.6371, 0.2742, 0.0261], [0.6371, 0.2742, 0.4739], [0.7805, 0.5610, 0.6288], [0.2195, 0.4390, 0.1288], [0.7805, 0.5610, 0.8712], [0.2195, 0.4390, 0.3712], [0.3645, 0.7290, 0.7500], [0.0613, 0.1227, 0.8812], [0.9387, 0.8773, 0.1188], [0.6355, 0.2710, 0.2500], [0.0613, 0.1227, 0.6188], [0.9387, 0.8773, 0.3812]],
  "total_magnetization_mub_per_atom": 0.000,
  "e_form_mev_per_atom": -352,
  "crystal_system": "orthorhombic",
  "dos_ef_per_ev_cell": 17.485,
  "final_energy_ev_per_cell": -76.91
}

[9]
{
  "formula": "La2Nd3Au2",
  "functional": "GGA-PBE",
  "state": "optimized geometry",
  "cell": [[3.9241, 0.0000, 0.0000], [-1.9621, 6.4817, -0.4338], [0.0000, -3.5159, 8.8515]],
  "species": ["La", "La", "Nd", "Nd", "Nd", "Au", "Au"],
  "fractional_positions": [[0.8446, 0.6892, 0.1847], [0.1554, 0.3108, 0.8153], [0.5000, 0.0000, 0.0000], [0.3851, 0.7701, 0.5545], [0.6149, 0.2299, 0.4455], [0.1655, 0.3311, 0.2305], [0.8345, 0.6689, 0.7695]],
  "total_magnetization_mub_per_atom": 0.000,
  "e_form_mev_per_atom": -462,
  "crystal_system": "monoclinic",
  "dos_ef_per_ev_cell": 8.690,
  "final_energy_ev_per_cell": -33.95
}

[10]
{
  "formula": "LaNdAu4",
  "functional": "GGA-PBE",
  "state": "optimized geometry",
  "cell": [[3.6558, -0.0012, 0.0003], [0.0018, 4.8573, 0.0000], [-0.0006, 0.0004, 8.1563]],
  "species": ["Nd", "Au", "Au", "Au", "Au", "La"],
  "fractional_positions": [[0.9986, 0.4974, 0.9982], [0.4986, 0.4973, 0.3279], [0.4986, 0.4973, 0.6684], [0.4986, 0.9973, 0.8301], [0.4986, 0.9973, 0.1662], [0.9985, 0.9971, 0.4981]],
  "total_magnetization_mub_per_atom": 0.000,
  "e_form_mev_per_atom": -785,
  "crystal_system": "orthorhombic",
  "de_polymorph_ev_per_atom": 0.000,
  "dos_ef_per_ev_cell": 4.513,
  "final_energy_ev_per_cell": -27.51
}

[11]
{
  "formula": "La4NdAu5",
  "functional": "GGA-PBE",
  "state": "optimized geometry",
  "cell": [[3.7474, 0.0000, 0.0000], [0.0000, 3.7474, 0.0000], [0.0000, 0.0000, 19.0565]],
  "species": ["La", "La", "La", "La", "Nd", "Au", "Au", "Au", "Au", "Au"],
  "fractional_positions": [[0.0000, 0.0000, 0.3994], [0.0000, 0.0000, 0.6006], [0.0000, 0.0000, 0.1980], [0.0000, 0.0000, 0.8020], [0.0000, 0.0000, 0.0000], [0.5000, 0.5000, 0.0955], [0.5000, 0.5000, 0.2987], [0.5000, 0.5000, 0.5000], [0.5000, 0.5000, 0.7013], [0.5000, 0.5000, 0.9045]],
  "total_magnetization_mub_per_atom": 0.000,
  "e_form_mev_per_atom": -777,
  "crystal_system": "tetragonal",
  "dos_ef_per_ev_cell": 8.411,
  "final_energy_ev_per_cell": -48.64
}

[12]
{
  "formula": "La2NdAu2",
  "functional": "GGA-PBE",
  "state": "optimized geometry",
  "cell": [[3.9850, 0.0000, 0.0000], [0.0000, 8.5329, 0.0000], [0.0000, 0.0000, 8.5329]],
  "species": ["Au", "Au", "Au", "Au", "Nd", "Nd", "La", "La", "La", "La"],
  "fractional_positions": [[0.0000, 0.1292, 0.3708], [0.0000, 0.8708, 0.6292], [0.0000, 0.3708, 0.8708], [0.0000, 0.6292, 0.1292], [0.0000, 0.5000, 0.5000], [0.0000, 0.0000, 0.0000], [0.5000, 0.6654, 0.8346], [0.5000, 0.3346, 0.1654], [0.5000, 0.1654, 0.6654], [0.5000, 0.8346, 0.3346]],
  "total_magnetization_mub_per_atom": 0.000,
  "e_form_mev_per_atom": -653,
  "crystal_system": "tetragonal",
  "dos_ef_per_ev_cell": 11.005,
  "final_energy_ev_per_cell": -48.88
}

[13]
{
  "formula": "LaNd3Au7",
  "functional": "GGA-PBE",
  "state": "optimized geometry",
  "cell": [[3.8836, 0.0000, 0.0000], [-1.9418, 11.5800, 0.0000], [0.0000, 0.0000, 12.6177]],
  "species": ["Au", "Au", "Au", "Au", "Au", "Au", "Au", "Au", "Au", "Au", "Au", "Au", "Au", "Au", "Nd", "Nd", "Nd", "Nd", "Nd", "Nd", "La", "La"],
  "fractional_positions": [[0.5997, 0.1993, 0.6340], [0.2780, 0.5560, 0.0684], [0.5416, 0.0832, 0.4280], [0.7220, 0.4440, 0.5684], [0.4003, 0.8007, 0.1340], [0.5416, 0.0832, 0.0720], [0.7220, 0.4440, 0.9316], [0.2780, 0.5560, 0.4316], [0.5997, 0.1993, 0.8660], [0.4003, 0.8007, 0.3660], [0.6172, 0.2345, 0.2500], [0.4584, 0.9168, 0.9280], [0.4584, 0.9168, 0.5720], [0.3828, 0.7655, 0.7500], [0.8134, 0.6268, 0.2500], [0.8549, 0.7099, 0.5624], [0.1451, 0.2901, 0.0624], [0.1866, 0.3732, 0.7500], [0.1451, 0.2901, 0.4376], [0.8549, 0.7099, 0.9376], [0.0048, 0.0096, 0.7500], [0.9952, 0.9904, 0.2500]],
  "total_magnetization_mub_per_atom": 0.000,
  "e_form_mev_per_atom": -716,
  "crystal_system": "orthorhombic",
  "dos_ef_per_ev_cell": 13.070,
  "final_energy_ev_per_cell": -100.09
}

[14]
{
  "formula": "La3Nd3Au4",
  "functional": "GGA-PBE",
  "state": "optimized geometry",
  "cell": [[3.9692, 0.0000, 0.0000], [0.0000, 8.5101, -0.0095], [0.0000, 0.0653, 8.5099]],
  "species": ["Nd", "Nd", "Nd", "Au", "Au", "Au", "Au", "La", "La", "La"],
  "fractional_positions": [[0.0000, 0.4975, 0.0014], [0.0000, 0.9986, 0.5025], [0.5000, 0.1671, 0.8329], [0.0000, 0.6290, 0.3710], [0.0000, 0.3692, 0.6308], [0.0000, 0.8742, 0.8690], [0.0000, 0.1310, 0.1258], [0.5000, 0.8373, 0.1627], [0.5000, 0.3328, 0.3368], [0.5000, 0.6632, 0.6672]],
  "total_magnetization_mub_per_atom": 0.000,
  "e_form_mev_per_atom": -648,
  "crystal_system": "orthorhombic",
  "dos_ef_per_ev_cell": 10.982,
  "final_energy_ev_per_cell": -48.68
}

[15]
{
  "formula": "LaNdAu4",
  "functional": "GGA-PBE",
  "state": "optimized geometry",
  "cell": [[3.8489, -0.4941, -0.2021], [0.4838, 3.8502, -0.2021], [0.5395, 0.4178, 9.3854]],
  "species": ["La", "Au", "Au", "Au", "Au", "Nd"],
  "fractional_positions": [[0.0000, 0.0000, 0.0000], [0.5004, 0.5004, 0.1700], [0.0003, 0.0003, 0.6634], [0.4996, 0.4996, 0.8300], [0.9997, 0.9997, 0.3366], [0.5000, 0.5000, 0.5000]],
  "total_magnetization_mub_per_atom": 0.000,
  "e_form_mev_per_atom": -776,
  "crystal_system": "tetragonal",
  "de_polymorph_ev_per_atom": 0.009,
  "dos_ef_per_ev_cell": 3.347,
  "final_energy_ev_per_cell": -27.46
}

[16]
{
  "formula": "LaNd3Au2",
  "functional": "GGA-PBE",
  "state": "optimized geometry",
  "cell": [[5.1322, 0.0000, 0.0000], [0.0000, 7.3835, 0.0000], [0.0000, 0.0000, 9.3618]],
  "species": ["Au", "Au", "Au", "Au", "Nd", "Nd", "Nd", "Nd", "Nd", "Nd", "La", "La"],
  "fractional_positions": [[0.0000, 0.2568, 0.6568], [0.0000, 0.7568, 0.3432], [0.5000, 0.2436, 0.1532], [0.5000, 0.7436, 0.8468], [0.0000, 0.8500, 0.6654], [0.5000, 0.6507, 0.1623], [0.0000, 0.3500, 0.3346], [0.5000, 0.1507, 0.8377], [0.0000, 0.4926, 0.9272], [0.0000, 0.9926, 0.0728], [0.5000, 0.0063, 0.4246], [0.5000, 0.5063, 0.5754]],
  "total_magnetization_mub_per_atom": 0.000,
  "e_form_mev_per_atom": -552,
  "crystal_system": "orthorhombic",
  "de_polymorph_ev_per_atom": 0.000,
  "dos_ef_per_ev_cell": 11.950,
  "final_energy_ev_per_cell": -58.20
}

[17]
{
  "formula": "LaNd4Au4",
  "functional": "GGA-PBE",
  "state": "optimized geometry",
  "cell": [[-0.1165, -6.1890, -0.2405], [9.4490, -0.1912, 0.3429], [-0.3500, -0.3603, 9.4438]],
  "species": ["Nd", "Nd", "Nd", "Nd", "Nd", "Nd", "Nd", "Nd", "Au", "Au", "Au", "Au", "Au", "Au", "Au", "Au", "La", "La"],
  "fractional_positions": [[0.0884, 0.8151, 0.4065], [0.5884, 0.0935, 0.3151], [0.0884, 0.1849, 0.5935], [0.5884, 0.9065, 0.6849], [0.9116, 0.5935, 0.8151], [0.4116, 0.6849, 0.0935], [0.9116, 0.4065, 0.1849], [0.4116, 0.3151, 0.9065], [0.5974, 0.2147, 0.6218], [0.5974, 0.7853, 0.3782], [0.9026, 0.2853, 0.8782], [0.0974, 0.1218, 0.2853], [0.4026, 0.6218, 0.7853], [0.4026, 0.3782, 0.2147], [0.9026, 0.7147, 0.1218], [0.0974, 0.8782, 0.7147], [0.0000, 0.0000, 0.0000], [0.5000, 0.5000, 0.5000]],
  "total_magnetization_mub_per_atom": 0.000,
  "e_form_mev_per_atom": -570,
  "crystal_system": "tetragonal",
  "dos_ef_per_ev_cell": 21.645,
  "final_energy_ev_per_cell": -84.48
}

[18]
{
  "formula": "LaNd2Au3",
  "functional": "GGA-PBE",
  "state": "optimized geometry",
  "cell": [[-0.7827, 4.4285, 0.3161], [-4.4402, -1.1276, 4.8046], [8.5427, -1.3261, 7.5835]],
  "species": ["Nd", "Nd", "Nd", "Nd", "La", "La", "Au", "Au", "Au", "Au", "Au", "Au"],
  "fractional_positions": [[0.0280, 0.2500, 0.0559], [0.1412, 0.7500, 0.2823], [0.8588, 0.2500, 0.7177], [0.9720, 0.7500, 0.9441], [0.6798, 0.2500, 0.3596], [0.3202, 0.7500, 0.6404], [0.7305, 0.7500, 0.4610], [0.5666, 0.9644, 0.1331], [0.5666, 0.5356, 0.1331], [0.4334, 0.0356, 0.8669], [0.4334, 0.4644, 0.8669], [0.2695, 0.2500, 0.5390]],
  "total_magnetization_mub_per_atom": 0.000,
  "e_form_mev_per_atom": -664,
  "crystal_system": "orthorhombic",
  "de_polymorph_ev_per_atom": 0.103,
  "dos_ef_per_ev_cell": 11.104,
  "final_energy_ev_per_cell": -56.56
}

[19]
{
  "formula": "LaNd2Au",
  "functional": "GGA-PBE",
  "state": "optimized geometry",
  "cell": [[-0.7788, -2.3923, 2.7312], [5.3734, -1.4642, 0.2497], [0.9161, 4.0045, 3.7689]],
  "species": ["Nd", "Nd", "La", "Au"],
  "fractional_positions": [[0.0000, 0.0000, 0.5000], [0.0000, 0.5000, 0.0000], [0.5000, 0.5000, 0.5000], [0.5000, 0.0000, 0.0000]],
  "total_magnetization_mub_per_atom": 0.000,
  "e_form_mev_per_atom": -229,
  "crystal_system": "tetragonal",
  "de_polymorph_ev_per_atom": 0.169,
  "dos_ef_per_ev_cell": 5.346,
  "final_energy_ev_per_cell": -18.66
}

[20]
{
  "formula": "LaNd2Au8",
  "functional": "GGA-PBE",
  "state": "optimized geometry",
  "cell": [[-5.0205, -0.2300, -1.5324], [-0.9790, -4.6825, 3.9252], [1.0827, 7.4888, 4.3289]],
  "species": ["Au", "Au", "Au", "Au", "Au", "Au", "Au", "Au", "Nd", "Nd", "La"],
  "fractional_positions": [[0.2986, 0.7986, 0.5973], [0.1318, 0.3587, 0.2637], [0.7014, 0.2014, 0.4027], [0.2496, 0.5003, 0.0000], [0.8682, 0.6413, 0.7363], [0.8680, 0.0950, 0.7363], [0.1320, 0.9050, 0.2637], [0.7504, 0.4997, 0.0000], [0.3144, 0.3144, 0.6289], [0.6856, 0.6856, 0.3711], [0.5000, 0.0000, 0.0000]],
  "total_magnetization_mub_per_atom": 0.000,
  "e_form_mev_per_atom": -708,
  "crystal_system": "orthorhombic",
  "dos_ef_per_ev_cell": 4.744,
  "final_energy_ev_per_cell": -48.47
}